# Mn2CrSi

A relaxed Mn2CrSi crystal (PBE, Alexandria).

```
4
Lattice="2.821 0.000 0.000 0.000 2.821 0.000 0.000 0.000 5.528" Properties=species:S:1:pos:R:3 pbc="T T T"
Mn 0.000 0.000 1.381
Mn 0.000 0.000 4.148
Cr 1.411 1.411 0.000
Si 1.411 1.411 2.764
```

Summary:
- E_tot: -8.603 eV/atom
- Space group: P4/mmm, No. 123
- Formation energy (no corrections): -0.256 eV/atom



# CdP2RuO

A relaxed CdP2RuO crystal (PBE, Alexandria).

```
5
Lattice="4.843 0.000 0.000 0.000 4.843 0.000 0.000 0.000 3.691" Properties=species:S:1:pos:R:3 pbc="T T T"
Cd 0.000 0.000 0.000
P 0.000 2.422 1.846
P 2.422 0.000 1.846
Ru 2.422 2.422 1.846
O 2.422 2.422 0.000
```

Summary:
- E_tot: -5.104 eV/atom
- Space group: P4/mmm, No. 123
- Distance to the lowest polymorph of the same formula: 0.000 eV per formula unit
- Formation energy (no corrections): 0.089 eV/atom



Look up the formation energy (no corrections) of the second one.
0.089 eV/atom



Please write out number 1 again, unchanged.
# Mn2CrSi

A relaxed Mn2CrSi crystal (PBE, Alexandria).

```
4
Lattice="2.821 0.000 0.000 0.000 2.821 0.000 0.000 0.000 5.528" Properties=species:S:1:pos:R:3 pbc="T T T"
Mn 0.000 0.000 1.381
Mn 0.000 0.000 4.148
Cr 1.411 1.411 0.000
Si 1.411 1.411 2.764
```

Summary:
- E_tot: -8.603 eV/atom
- Space group: P4/mmm, No. 123
- Formation energy (no corrections): -0.256 eV/atom